# Ac3Zn7Cu4, relaxed, DFT PBE
data_Ac3Zn7Cu4
_chemical_formula_sum 'Ac6 Zn14 Cu8'
_symmetry_space_group_name_H-M 'C 1 2/m 1'
_symmetry_Int_Tables_number 12
_cell_length_a 16.2324
_cell_length_b 4.3844
_cell_length_c 9.3602
_cell_angle_alpha 90.00
_cell_angle_beta 121.98
_cell_angle_gamma 90.00
loop_
_symmetry_equiv_pos_as_xyz
'x,y,z'
'-x,-y,-z'
'-x,y,-z'
'x,-y,z'
'x+1/2,y+1/2,z'
'-x+1/2,-y+1/2,-z'
'-x+1/2,y+1/2,-z'
'x+1/2,-y+1/2,z'
loop_
_atom_site_label
_atom_site_type_symbol
_atom_site_fract_x
_atom_site_fract_y
_atom_site_fract_z
_atom_site_occupancy
Ac1 Ac 0.0000 0.0000 0.0000 1
Ac2 Ac 0.2030 0.5000 0.6862 1
Zn1 Zn 0.0000 0.0000 0.5000 1
Zn2 Zn 0.0068 0.5000 0.7041 1
Zn3 Zn 0.1201 0.0000 0.3969 1
Zn4 Zn 0.1731 0.5000 0.0135 1
Cu1 Cu 0.1248 0.0000 0.8323 1
Cu2 Cu 0.1453 0.5000 0.2748 1
# - DFT total energy (eV/atom) = -2.910
# - energy of formation (meV per atom) = -222


# AcZnCu10, relaxed, DFT PBE
data_AcZnCu10
_chemical_formula_sum 'Ac1 Zn1 Cu10'
_symmetry_space_group_name_H-M 'P m m m'
_symmetry_Int_Tables_number 47
_cell_length_a 4.1777
_cell_length_b 4.9566
_cell_length_c 8.7290
_cell_angle_alpha 90.00
_cell_angle_beta 90.00
_cell_angle_gamma 90.00
loop_
_symmetry_equiv_pos_as_xyz
'x,y,z'
'-x,-y,-z'
'-x,-y,z'
'x,y,-z'
'x,-y,-z'
'-x,y,z'
'-x,y,-z'
'x,-y,z'
loop_
_atom_site_label
_atom_site_type_symbol
_atom_site_fract_x
_atom_site_fract_y
_atom_site_fract_z
_atom_site_occupancy
Ac1 Ac 0.0000 0.0000 0.0000 1
Zn1 Zn 0.0000 0.5000 0.5000 1
Cu1 Cu 0.0000 0.0000 0.3539 1
Cu2 Cu 0.0000 0.5000 0.2121 1
Cu3 Cu 0.5000 0.0000 0.5000 1
Cu4 Cu 0.5000 0.2503 0.2566 1
Cu5 Cu 0.5000 0.5000 0.0000 1
# - DFT total energy (eV/atom) = -3.874
# - energy of formation (meV per atom) = -12